(1)
PBE NiAg6Br12, relaxed; SG = R-3 (148); E_form (uncorrected) = -247 meV per atom; total moment = 1.2 μB/f.u.; DFT total energy = -2.51 eV per atom
1.0
5.696 3.289 5.294
-5.696 3.289 5.294
0.000 -6.577 5.294
Ni Ag Br
1 6 12
Cartesian
0.000 0.000 0.000
-2.821 0.412 5.283
1.054 -2.649 5.283
-1.767 -2.237 10.600
1.767 2.237 5.283
-1.054 2.649 10.600
2.821 -0.412 10.600
-5.492 1.291 6.751
-3.864 -4.111 9.132
-1.283 -1.715 6.096
1.628 -5.402 6.751
-0.844 1.968 6.096
-2.127 0.254 9.788
2.127 -0.254 6.096
0.844 -1.968 9.788
-1.628 5.402 9.132
1.283 1.715 9.788
3.864 4.111 6.751
5.492 -1.291 9.132

---

(2)
PBE Th4GaPb, relaxed; SG = P4/mcc (124); energy of formation = -0.2908 eV per atom; total moment = 0.0 μB/f.u.; DFT total energy = -6.36 eV per atom
1.0
7.611 0.000 0.000
0.000 7.611 0.000
0.000 0.000 6.229
Th Ga Pb
8 2 2
Cartesian
1.115 2.533 0.000
1.115 5.078 3.114
2.533 1.115 3.114
2.533 6.496 0.000
5.078 1.115 0.000
5.078 6.496 3.114
6.496 2.533 3.114
6.496 5.078 0.000
0.000 0.000 1.557
0.000 0.000 4.672
3.806 3.806 1.557
3.806 3.806 4.672

---

(3)
PBE Rb2CdGa2, relaxed; SG = P4/mbm (127); energy of formation = 0.0672 eV per atom; total moment = 0.0 μB/f.u.; DFT total energy = -1.71 eV per atom; energy above the lowest structure with this stoichiometry = 0.068 eV per atom
1.0
7.589 0.000 0.000
0.000 7.589 0.000
0.000 0.000 5.947
Rb Cd Ga
4 2 4
Cartesian
1.419 2.375 0.000
2.375 6.170 0.000
5.213 1.419 0.000
6.170 5.213 0.000
0.000 0.000 2.974
3.794 3.794 2.974
0.902 4.696 2.974
2.892 0.902 2.974
4.696 6.686 2.974
6.686 2.892 2.974

---

(4)
PBE Ca2Ac3Co, relaxed; SG = Cmcm (63); energy of formation = 0.1132 eV per atom; total moment = 0.0 μB/f.u.; DFT total energy = -3.79 eV per atom
1.0
6.455 -4.781 0.000
6.455 4.781 0.000
0.000 0.000 7.707
Ca Ac Co
4 6 2
Cartesian
4.719 3.161 5.780
8.191 3.161 5.780
4.719 -3.161 1.927
8.191 -3.161 1.927
6.455 2.760 1.927
4.558 0.000 0.000
4.558 0.000 3.853
8.351 0.000 0.000
8.351 0.000 3.853
6.455 -2.760 5.780
6.455 0.643 5.780
6.455 -0.643 1.927